Entry 1:
NbReF3 after structural relaxation. Source: Alexandria, functional GGA-PBE.

```
data_NbReF3
_cell_length_a 4.319
_cell_length_b 4.319
_cell_length_c 4.319
_cell_angle_alpha 90.00
_cell_angle_beta 90.00
_cell_angle_gamma 90.00
_space_group_name_H-M_alt 'P 1'
_space_group_IT_number 1
loop_
_space_group_symop_operation_xyz
'x,y,z'
loop_
_atom_site_label
_atom_site_fract_x
_atom_site_fract_y
_atom_site_fract_z
Re1 0.500 0.500 0.500
Nb1 0.000 0.000 0.000
F1 0.000 0.500 0.000
F2 0.000 0.000 0.500
F3 0.500 0.000 0.000
```

Computed properties:
uncorrected formation energy	-364	meV per atom
size of the total moment	5.61	μB per formula unit
N(E_F)	8.25	states/eV/f.u.
calculated total energy	-30.0	eV for the cell shown
ΔE to the lowest computed polymorph	0	meV per atom

Entry 2:
Ac2InHg8 after structural relaxation. Source: Alexandria, functional GGA-PBE.

```
data_Ac2InHg8
_cell_length_a 5.305
_cell_length_b 7.338
_cell_length_c 10.611
_cell_angle_alpha 124.41
_cell_angle_beta 112.63
_cell_angle_gamma 86.44
_space_group_name_H-M_alt 'P 1'
_space_group_IT_number 1
loop_
_space_group_symop_operation_xyz
'x,y,z'
loop_
_atom_site_label
_atom_site_fract_x
_atom_site_fract_y
_atom_site_fract_z
Ac1 0.652 0.610 0.355
Ac2 0.348 0.390 0.645
In1 0.500 0.000 0.000
Hg1 0.103 0.253 0.235
Hg2 0.919 0.150 0.715
Hg3 0.735 0.366 0.988
Hg4 0.663 0.142 0.374
Hg5 0.337 0.858 0.626
Hg6 0.265 0.634 0.012
Hg7 0.081 0.850 0.285
Hg8 0.897 0.747 0.765
```

Computed properties:
size of the total moment	0.00	μB per formula unit
energy of formation	-0.2971	eV per atom
N(E_F)	5.15	states/eV/f.u.
calculated total energy	-16.6	eV for the cell shown
ΔE to the lowest computed polymorph	0	meV per atom

Entry 3:
Ti3Ga6Ni after structural relaxation. Source: Alexandria, functional GGA-PBE.

```
data_Ti3Ga6Ni
_cell_length_a 6.858
_cell_length_b 6.858
_cell_length_c 6.858
_cell_angle_alpha 95.60
_cell_angle_beta 95.60
_cell_angle_gamma 95.60
_space_group_name_H-M_alt 'P 1'
_space_group_IT_number 1
loop_
_space_group_symop_operation_xyz
'x,y,z'
loop_
_atom_site_label
_atom_site_fract_x
_atom_site_fract_y
_atom_site_fract_z
Ti1 0.250 0.821 0.679
Ti2 0.821 0.679 0.250
Ti3 0.321 0.750 0.179
Ti4 0.679 0.250 0.821
Ti5 0.179 0.321 0.750
Ti6 0.750 0.179 0.321
Ga1 0.347 0.086 0.003
Ga2 0.914 0.997 0.653
Ga3 0.586 0.847 0.503
Ga4 0.997 0.653 0.914
Ga5 0.503 0.586 0.847
Ga6 0.153 0.497 0.414
Ga7 0.847 0.503 0.586
Ga8 0.497 0.414 0.153
Ga9 0.003 0.347 0.086
Ga10 0.414 0.153 0.497
Ga11 0.086 0.003 0.347
Ga12 0.653 0.914 0.997
Ni1 0.000 0.000 0.000
Ni2 0.500 0.500 0.500
```

Computed properties:
size of the total moment	0.00	μB per formula unit
energy of formation	-0.3449	eV per atom
N(E_F)	6.36	states/eV/f.u.
calculated total energy	-102.2	eV for the cell shown

Entry 4:
K2LaErO4 after structural relaxation. Source: Alexandria, functional GGA-PBE.

```
data_K2LaErO4
_cell_length_a 3.584
_cell_length_b 6.219
_cell_length_c 6.608
_cell_angle_alpha 108.29
_cell_angle_beta 90.00
_cell_angle_gamma 90.00
_space_group_name_H-M_alt 'P 1'
_space_group_IT_number 1
loop_
_space_group_symop_operation_xyz
'x,y,z'
loop_
_atom_site_label
_atom_site_fract_x
_atom_site_fract_y
_atom_site_fract_z
K1 0.500 0.000 0.500
K2 0.000 0.500 0.500
La1 0.500 0.500 0.000
Er1 0.000 0.000 0.000
O1 0.500 0.216 0.186
O2 0.500 0.784 0.814
O3 0.000 0.254 0.812
O4 0.000 0.746 0.188
```

Computed properties:
uncorrected formation energy	-2710	meV per atom
size of the total moment	0.00	μB per formula unit
N(E_F)	0.00	states/eV/f.u.
calculated total energy	-53.2	eV for the cell shown

Entry 5:
LaAl2Tl after structural relaxation. Source: Alexandria, functional GGA-PBE.

```
data_LaAl2Tl
_cell_length_a 10.497
_cell_length_b 10.497
_cell_length_c 10.497
_cell_angle_alpha 18.18
_cell_angle_beta 18.18
_cell_angle_gamma 18.18
_space_group_name_H-M_alt 'P 1'
_space_group_IT_number 1
loop_
_space_group_symop_operation_xyz
'x,y,z'
loop_
_atom_site_label
_atom_site_fract_x
_atom_site_fract_y
_atom_site_fract_z
Tl1 0.742 0.742 0.742
Al1 0.996 0.996 0.996
Al2 0.259 0.259 0.259
La1 0.504 0.504 0.504
```

Computed properties:
size of the total moment	0.00	μB per formula unit
energy of formation	0.0692	eV per atom
N(E_F)	3.60	states/eV/f.u.
calculated total energy	-14.5	eV for the cell shown
ΔE to the lowest computed polymorph	338	meV per atom

Entry 6:
Fe3BrCl after structural relaxation. Source: Alexandria, functional GGA-PBE.

```
data_Fe3BrCl
_cell_length_a 4.374
_cell_length_b 4.374
_cell_length_c 4.374
_cell_angle_alpha 90.00
_cell_angle_beta 90.00
_cell_angle_gamma 90.00
_space_group_name_H-M_alt 'P 1'
_space_group_IT_number 1
loop_
_space_group_symop_operation_xyz
'x,y,z'
loop_
_atom_site_label
_atom_site_fract_x
_atom_site_fract_y
_atom_site_fract_z
Fe1 0.000 0.500 0.000
Fe2 0.000 0.000 0.500
Fe3 0.500 0.000 0.000
Br1 0.500 0.500 0.500
Cl1 0.000 0.000 0.000
```

Computed properties:
uncorrected formation energy	865	meV per atom
size of the total moment	8.00	μB per formula unit
N(E_F)	2.17	states/eV/f.u.
calculated total energy	-24.6	eV for the cell shown
ΔE to the lowest computed polymorph	0	meV per atom

Entry 7:
CsNd2Br8 after structural relaxation. Source: Alexandria, functional GGA-PBE.

```
data_CsNd2Br8
_cell_length_a 9.090
_cell_length_b 7.627
_cell_length_c 7.627
_cell_angle_alpha 73.28
_cell_angle_beta 80.90
_cell_angle_gamma 80.90
_space_group_name_H-M_alt 'P 1'
_space_group_IT_number 1
loop_
_space_group_symop_operation_xyz
'x,y,z'
loop_
_atom_site_label
_atom_site_fract_x
_atom_site_fract_y
_atom_site_fract_z
Cs1 0.000 0.000 0.000
Nd1 0.463 0.323 0.323
Nd2 0.537 0.677 0.677
Br1 0.348 0.665 0.042
Br2 0.652 0.958 0.335
Br3 0.187 0.240 0.240
Br4 0.813 0.760 0.760
Br5 0.348 0.042 0.665
Br6 0.652 0.335 0.958
Br7 0.709 0.443 0.443
Br8 0.291 0.557 0.557
```

Computed properties:
uncorrected formation energy	-1631	meV per atom
size of the total moment	1.12	μB per formula unit
N(E_F)	5.67	states/eV/f.u.
calculated total energy	-41.7	eV for the cell shown
ΔE to the lowest computed polymorph	0	meV per atom

Entry 8:
Na12S3Br5 after structural relaxation. Source: Alexandria, functional GGA-PBE.

```
data_Na12S3Br5
_cell_length_a 14.517
_cell_length_b 14.517
_cell_length_c 14.517
_cell_angle_alpha 109.47
_cell_angle_beta 109.47
_cell_angle_gamma 109.47
_space_group_name_H-M_alt 'P 1'
_space_group_IT_number 1
loop_
_space_group_symop_operation_xyz
'x,y,z'
loop_
_atom_site_label
_atom_site_fract_x
_atom_site_fract_y
_atom_site_fract_z
S1 0.750 0.375 0.125
S2 0.875 0.750 0.125
S3 0.375 0.750 0.625
S4 0.250 0.125 0.375
S5 0.875 0.125 0.250
S6 0.375 0.625 0.250
S7 0.625 0.375 0.750
S8 0.125 0.875 0.750
S9 0.750 0.875 0.625
S10 0.625 0.250 0.375
S11 0.125 0.250 0.875
S12 0.250 0.625 0.875
Br1 0.125 0.375 0.250
Br2 0.000 0.500 0.000
Br3 0.000 0.000 0.000
Br4 0.375 0.250 0.125
Br5 0.500 0.000 0.500
Br6 0.500 0.500 0.000
Br7 0.125 0.750 0.375
Br8 0.750 0.125 0.875
Br9 0.750 0.625 0.375
Br10 0.375 0.125 0.750
Br11 0.625 0.875 0.250
Br12 0.500 0.500 0.500
Br13 0.500 0.000 0.000
Br14 0.000 0.000 0.500
Br15 0.250 0.375 0.625
Br16 0.250 0.875 0.125
Br17 0.000 0.500 0.500
Br18 0.875 0.250 0.625
Br19 0.625 0.750 0.875
Br20 0.875 0.625 0.750
Na1 0.734 0.142 0.065
Na2 0.331 0.565 0.422
Na3 0.935 0.358 0.266
Na4 0.565 0.234 0.142
Na5 0.592 0.734 0.669
Na6 0.935 0.578 0.169
Na7 0.331 0.766 0.408
Na8 0.078 0.908 0.142
Na9 0.578 0.935 0.669
Na10 0.734 0.592 0.169
Na11 0.766 0.435 0.358
Na12 0.831 0.922 0.065
Na13 0.142 0.734 0.565
Na14 0.358 0.422 0.092
Na15 0.092 0.922 0.358
Na16 0.408 0.142 0.578
Na17 0.092 0.169 0.234
Na18 0.435 0.669 0.078
Na19 0.831 0.908 0.266
Na20 0.142 0.408 0.078
Na21 0.358 0.935 0.766
Na22 0.578 0.642 0.408
Na23 0.922 0.831 0.565
Na24 0.766 0.331 0.908
Na25 0.422 0.358 0.592
Na26 0.078 0.169 0.435
Na27 0.234 0.669 0.092
Na28 0.169 0.092 0.734
Na29 0.642 0.065 0.234
Na30 0.858 0.592 0.922
Na31 0.565 0.331 0.922
Na32 0.592 0.858 0.422
Na33 0.908 0.831 0.766
Na34 0.908 0.078 0.642
Na35 0.858 0.266 0.435
Na36 0.169 0.078 0.935
Na37 0.642 0.578 0.908
Na38 0.422 0.065 0.331
Na39 0.266 0.408 0.831
Na40 0.234 0.565 0.642
Na41 0.922 0.092 0.858
Na42 0.669 0.234 0.592
Na43 0.435 0.766 0.858
Na44 0.065 0.422 0.831
Na45 0.408 0.266 0.331
Na46 0.065 0.642 0.734
Na47 0.669 0.435 0.578
Na48 0.266 0.858 0.935
```

Computed properties:
uncorrected formation energy	-1122	meV per atom
size of the total moment	0.00	μB per formula unit
N(E_F)	1.48	states/eV/f.u.
calculated total energy	-236.1	eV for the cell shown

Entry 9:
TlCuF3 after structural relaxation. Source: Alexandria, functional GGA-PBE.

```
data_TlCuF3
_cell_length_a 14.356
_cell_length_b 5.796
_cell_length_c 5.796
_cell_angle_alpha 138.58
_cell_angle_beta 143.42
_cell_angle_gamma 36.58
_space_group_name_H-M_alt 'P 1'
_space_group_IT_number 1
loop_
_space_group_symop_operation_xyz
'x,y,z'
loop_
_atom_site_label
_atom_site_fract_x
_atom_site_fract_y
_atom_site_fract_z
Tl1 0.630 0.984 0.016
Tl2 0.370 0.016 0.984
Cu1 0.923 0.943 0.057
Cu2 0.077 0.057 0.943
F1 0.845 0.237 0.763
F2 0.155 0.763 0.237
F3 0.945 0.398 0.602
F4 0.055 0.602 0.398
F5 0.323 0.831 0.169
F6 0.677 0.169 0.831
```

Computed properties:
uncorrected formation energy	-1611	meV per atom
size of the total moment	1.00	μB per formula unit
N(E_F)	2.77	states/eV/f.u.
calculated total energy	-40.3	eV for the cell shown

Entry 10:
Ag5HgAu4 after structural relaxation. Source: Alexandria, functional GGA-PBE.

```
data_Ag5HgAu4
_cell_length_a 2.932
_cell_length_b 2.932
_cell_length_c 21.376
_cell_angle_alpha 90.00
_cell_angle_beta 90.00
_cell_angle_gamma 90.00
_space_group_name_H-M_alt 'P 1'
_space_group_IT_number 1
loop_
_space_group_symop_operation_xyz
'x,y,z'
loop_
_atom_site_label
_atom_site_fract_x
_atom_site_fract_y
_atom_site_fract_z
Ag1 0.500 0.500 0.107
Ag2 0.500 0.500 0.304
Ag3 0.500 0.500 0.500
Ag4 0.500 0.500 0.696
Ag5 0.500 0.500 0.893
Hg1 0.000 0.000 0.000
Au1 0.000 0.000 0.206
Au2 0.000 0.000 0.402
Au3 0.000 0.000 0.598
Au4 0.000 0.000 0.794
```

Computed properties:
size of the total moment	0.00	μB per formula unit
energy of formation	-0.0137	eV per atom
N(E_F)	3.17	states/eV/f.u.
calculated total energy	-27.8	eV for the cell shown
ΔE to the lowest computed polymorph	0	meV per atom

Entry 11:
NaOsS2 after structural relaxation. Source: Alexandria, functional GGA-PBE.

```
data_NaOsS2
_cell_length_a 7.907
_cell_length_b 7.907
_cell_length_c 7.907
_cell_angle_alpha 26.69
_cell_angle_beta 26.69
_cell_angle_gamma 26.69
_space_group_name_H-M_alt 'P 1'
_space_group_IT_number 1
loop_
_space_group_symop_operation_xyz
'x,y,z'
loop_
_atom_site_label
_atom_site_fract_x
_atom_site_fract_y
_atom_site_fract_z
Na1 0.000 0.000 0.000
S1 0.884 0.884 0.884
S2 0.116 0.116 0.116
Os1 0.500 0.500 0.500
```

Computed properties:
uncorrected formation energy	-207	meV per atom
size of the total moment	0.01	μB per formula unit
N(E_F)	4.23	states/eV/f.u.
calculated total energy	-21.6	eV for the cell shown

Entry 12:
In2HgI after structural relaxation. Source: Alexandria, functional GGA-PBE.

```
data_In2HgI
_cell_length_a 4.113
_cell_length_b 4.113
_cell_length_c 7.433
_cell_angle_alpha 90.00
_cell_angle_beta 90.00
_cell_angle_gamma 90.00
_space_group_name_H-M_alt 'P 1'
_space_group_IT_number 1
loop_
_space_group_symop_operation_xyz
'x,y,z'
loop_
_atom_site_label
_atom_site_fract_x
_atom_site_fract_y
_atom_site_fract_z
I1 0.500 0.500 0.000
Hg1 0.500 0.500 0.500
In1 0.000 0.000 0.723
In2 0.000 0.000 0.277
```

Computed properties:
uncorrected formation energy	-133	meV per atom
size of the total moment	0.00	μB per formula unit
N(E_F)	0.44	states/eV/f.u.
calculated total energy	-7.9	eV for the cell shown
ΔE to the lowest computed polymorph	3	meV per atom